Record 1
Below is a relaxed NdSm4Tm crystal, with properties calculated at the GGA-PBE level.

Output
Distance to the lowest polymorph of the same formula, meV per atom: 169.7
DOS at the Fermi energy, states/eV/f.u.: 11.78
Total magnetic moment, μB per atom: 0.00
Space-group type: C2/m (12)

Lattice parameters (Å, degrees): 3.4709 6.1334 10.2239 87.94 80.23 73.56
Fractional coordinates of all 6 atoms:
Nd 0.5000 0.5000 0.5000
Sm 0.6549 0.5373 0.1528
Sm 0.3451 0.4627 0.8472
Sm 0.1542 0.0336 0.6581
Sm 0.8458 0.9664 0.3419
Tm 0.0000 0.0000 0.0000

Record 2
Below is a relaxed NdSm10Tm4 crystal, with properties calculated at the GGA-PBE level.

Output
DOS at the Fermi energy, states/eV/f.u.: 25.04
Total magnetic moment, μB per atom: 0.00
VASP energy, eV/atom: -4.199
Space-group type: I4/m (87)

Lattice parameters (Å, degrees): 10.7731 8.8360 8.8360 68.18 52.44 52.44
Fractional coordinates of all 15 atoms:
Nd 0.0000 0.0000 0.0000
Sm 0.2500 0.5000 0.5000
Sm 0.7109 0.3437 0.8944
Sm 0.9454 0.1056 0.3437
Sm 0.3947 0.8944 0.6563
Sm 0.9490 0.6563 0.1056
Sm 0.2891 0.6563 0.1056
Sm 0.7500 0.5000 0.5000
Sm 0.0510 0.3437 0.8944
Sm 0.6053 0.1056 0.3437
Sm 0.0546 0.8944 0.6563
Tm 0.5562 0.6637 0.2239
Tm 0.7801 0.7761 0.6637
Tm 0.2199 0.2239 0.3363
Tm 0.4438 0.3363 0.7761

Record 3
Below is a relaxed Nd7SmTm2 crystal, with properties calculated at the GGA-PBE level.

Output
Distance to the lowest polymorph of the same formula, meV per atom: 0.0
DOS at the Fermi energy, states/eV/f.u.: 13.46
Total magnetic moment, μB per atom: 0.00
Space-group type: Immm (71)

Lattice parameters (Å, degrees): 5.5196 7.8339 9.4896 114.39 106.92 90.00
Fractional coordinates of all 10 atoms:
Nd 0.1575 0.6572 0.3149
Nd 0.8425 0.3428 0.6851
Nd 0.3705 0.6716 0.7408
Nd 0.6295 0.3284 0.2592
Nd 0.6296 0.9307 0.2595
Nd 0.3704 0.0693 0.7405
Nd 0.5000 0.5000 0.0000
Sm 0.0000 0.0000 0.0000
Tm 0.7873 0.7868 0.5741
Tm 0.2127 0.2132 0.4259

Record 4
Below is a relaxed Nd6Sm2Tm crystal, with properties calculated at the GGA-PBE level.

Output
Distance to the lowest polymorph of the same formula, meV per atom: 0.0
DOS at the Fermi energy, states/eV/f.u.: 12.42
Total magnetic moment, μB per atom: 0.00
Space-group type: C2/c (15)

Lattice parameters (Å, degrees): 6.2681 10.2139 10.2139 71.12 84.96 84.96
Fractional coordinates of all 18 atoms:
Nd 0.4868 0.6887 0.4071
Nd 0.0132 0.5929 0.3113
Nd 0.5132 0.3113 0.5929
Nd 0.9868 0.4071 0.6887
Nd 0.6505 0.0731 0.3497
Nd 0.8495 0.6503 0.9269
Nd 0.3495 0.9269 0.6503
Nd 0.1505 0.3497 0.0731
Nd 0.3204 0.7439 0.0244
Nd 0.1796 0.9756 0.2561
Nd 0.6796 0.2561 0.9756
Nd 0.8204 0.0244 0.7439
Sm 0.4210 0.5677 0.7681
Sm 0.0790 0.2319 0.4323
Sm 0.5790 0.4323 0.2319
Sm 0.9210 0.7681 0.5677
Tm 0.2500 0.0996 0.9004
Tm 0.7500 0.9004 0.0996